The following is a DFT calculation (GGA-PBE) of LiTlCu2Br after structural relaxation.

Output
Energy relative to the elements, uncorrected: 0.291 eV/atom
Theoretical density: 4.43 g/cm³
Crystal system: tetragonal

Lattice parameters (Å, degrees): 4.9477 4.9477 6.4085 90.00 90.00 90.00
Last column: nearest neighbours and their distance in Å.
Positions (direct):
Li 0.0000 0.0000 0.0000  4 Br 3.50
Tl 0.5000 0.5000 0.5000  4 Cu 2.47
Cu 0.0000 0.5000 0.5000  2 Tl 2.47
Cu 0.5000 0.0000 0.5000  2 Tl 2.47
Br 0.5000 0.5000 0.0000  2 Tl 3.20, 4 Li 3.50